w.
UCo6P4: relaxed, GGA-PBE.

a b c (Å): 5.7994 5.7994 5.7994
angles (deg): 95.86 116.67 116.67
Closest atoms and distances in Å follow each position.
Fractional coordinates of all 11 atoms:
U: 0.0000 0.0000 0.0000  8 P 2.85-3.15, 8 Co 3.04-3.14
Co: 0.3020 0.5323 0.5323  4 P 2.11-2.24
Co: 0.5000 0.0000 0.5000  4 Co 2.49, 4 P 2.53
P: 0.4078 0.8668 0.8668  4 Co 2.11-2.24
Co: 0.0000 0.4677 0.7697  4 P 2.11-2.24
Co: 0.6980 0.2303 0.2303  4 P 2.11-2.24
P: 0.0000 0.1332 0.5410  4 Co 2.11-2.24
Co: 0.5000 0.5000 0.0000  4 Co 2.49, 4 P 2.53
Co: 0.0000 0.7697 0.4677  4 P 2.11-2.24
P: 0.5922 0.4590 0.4590  4 Co 2.11-2.24
P: 0.0000 0.5410 0.1332  4 Co 2.11-2.24

---

x.
UCo6P4: relaxed, GGA-PBE.

a b c (Å): 3.5348 6.5403 6.5403
angles (deg): 120.00 90.00 90.00
Closest atoms and distances in Å follow each position.
Fractional coordinates of all 11 atoms:
P: 0.5000 0.8067 0.1933  6 Co 2.23-2.35
Co: 0.0000 0.9338 0.4669  5 P 2.26-2.35
P: 0.5000 0.8067 0.6135  6 Co 2.23-2.35
U: 0.0000 0.0000 0.0000  6 P 2.81, 6 Co 2.88
Co: 0.5000 0.2008 0.4016  4 P 2.23-2.32
Co: 0.5000 0.2008 0.7992  4 P 2.23-2.32
P: 0.0000 0.3333 0.6667  9 Co 2.26-2.32
Co: 0.0000 0.5331 0.4669  5 P 2.26-2.35
Co: 0.5000 0.5984 0.7992  4 P 2.23-2.32
Co: 0.0000 0.5331 0.0662  5 P 2.26-2.35
P: 0.5000 0.3865 0.1933  6 Co 2.23-2.35

---

Energy above the most stable structure, in meV per atom: w 163; x 0

---

w.
U2Co3P: relaxed, GGA-PBE.

a b c (Å): 5.1260 5.1260 8.2311
angles (deg): 113.64 113.64 73.27
Closest atoms and distances in Å follow each position.
Fractional coordinates of all 12 atoms:
U: 0.7500 0.2500 0.5000  8 Co 2.77-2.78, 4 P 2.85, 2 U 3.06
Co: 0.1765 0.1765 0.3529  1 P 2.30, 2 Co 2.52
P: 0.3375 0.3375 0.6751  3 Co 2.22-2.30
U: 0.2500 0.7500 0.5000  8 Co 2.77-2.78, 4 P 2.85, 2 U 3.06
Co: 0.6490 0.6490 0.8259  1 P 2.22, 1 Co 2.48
Co: 0.1769 0.1769 0.8259  1 P 2.22, 1 Co 2.48
U: 0.7793 0.2207 0.0000  1 U 2.70, 10 Co 2.84-2.87, 2 P 2.88
Co: 0.8235 0.8235 0.6471  1 P 2.30, 2 Co 2.52
Co: 0.8231 0.8231 0.1741  1 P 2.22, 1 Co 2.48
Co: 0.3510 0.3510 0.1741  1 P 2.22, 1 Co 2.48
U: 0.2207 0.7793 0.0000  1 U 2.70, 10 Co 2.84-2.87, 2 P 2.88
P: 0.6625 0.6625 0.3249  3 Co 2.22-2.30

---

x.
U2Co3P: relaxed, GGA-PBE.

a b c (Å): 4.7526 4.7526 4.7526
angles (deg): 65.14 65.14 65.14
Closest atoms and distances in Å follow each position.
Fractional coordinates of all 6 atoms:
Co: 0.0000 0.5000 0.0000  2 P 2.38, 4 Co 2.56
P: 0.0000 0.0000 0.0000  6 Co 2.38
Co: 0.0000 0.0000 0.5000  2 P 2.38, 4 Co 2.56
U: 0.3820 0.3820 0.3820  1 U 2.64, 9 Co 2.82-2.88
Co: 0.5000 0.0000 0.0000  2 P 2.38, 4 Co 2.56
U: 0.6180 0.6180 0.6180  1 U 2.64, 9 Co 2.82-2.88

---

Energy above the most stable structure, in meV per atom: w 89; x 0

---

w.
VCoP2: relaxed, GGA-PBE.

a b c (Å): 4.0459 4.0459 4.0459
angles (deg): 60.00 60.00 60.00
Closest atoms and distances in Å follow each position.
Fractional coordinates of all 4 atoms:
Co: 0.5000 0.5000 0.5000  8 P 2.48
V: 0.0000 0.0000 0.0000  8 P 2.48
P: 0.7500 0.7500 0.7500  4 Co 2.48, 4 V 2.48
P: 0.2500 0.2500 0.2500  4 Co 2.48, 4 V 2.48

---

x.
VCoP2: relaxed, GGA-PBE.

a b c (Å): 5.2986 5.2986 6.0959
angles (deg): 64.24 64.24 90.00
Closest atoms and distances in Å follow each position.
Fractional coordinates of all 8 atoms:
Co: 0.7500 0.2500 0.5000  4 P 2.15
P: 0.0992 0.6250 0.2500  2 Co 2.15, 2 V 2.31
V: 0.2500 0.7500 0.5000  4 P 2.31
P: 0.8750 0.9008 0.7500  2 Co 2.15, 2 V 2.31
Co: 0.0000 0.0000 0.0000  4 P 2.15
P: 0.3750 0.3492 0.7500  2 Co 2.15, 2 V 2.31
V: 0.5000 0.5000 0.0000  4 P 2.31
P: 0.6508 0.1250 0.2500  2 Co 2.15, 2 V 2.31

---

y.
VCoP2: relaxed, GGA-PBE.

a b c (Å): 3.4240 3.4240 5.5893
angles (deg): 72.16 72.16 60.00
Closest atoms and distances in Å follow each position.
Fractional coordinates of all 4 atoms:
P: 0.7608 0.7608 0.7175  3 Co 2.28, 3 V 2.47
V: 0.0000 0.0000 0.0000  6 P 2.47
Co: 0.5000 0.5000 0.5000  6 P 2.28
P: 0.2392 0.2392 0.2825  3 Co 2.28, 3 V 2.47

---

Energy above the most stable structure, in meV per atom: w 0; x 203; y 31

---

w.
VCo3P: relaxed, GGA-PBE.

a b c (Å): 4.0858 4.0858 4.0858
angles (deg): 90.00 90.00 90.00
Closest atoms and distances in Å follow each position.
Fractional coordinates of all 5 atoms:
P: 0.0000 0.0000 0.0000  6 Co 2.04
Co: 0.0000 0.5000 0.0000  2 P 2.04
V: 0.5000 0.5000 0.5000  12 Co 2.89
Co: 0.0000 0.0000 0.5000  2 P 2.04
Co: 0.5000 0.0000 0.0000  2 P 2.04

---

x.
VCo3P: relaxed, GGA-PBE.

a b c (Å): 4.2047 4.2047 4.2047
angles (deg): 90.00 90.00 90.00
Closest atoms and distances in Å follow each position.
Fractional coordinates of all 5 atoms:
V: 0.0000 0.0000 0.0000  6 Co 2.10
Co: 0.0000 0.5000 0.0000  2 V 2.10
P: 0.5000 0.5000 0.5000  12 Co 2.97
Co: 0.0000 0.0000 0.5000  2 V 2.10
Co: 0.5000 0.0000 0.0000  2 V 2.10

---

Energy above the most stable structure, in meV per atom: w 0; x 937

---

w.
CoP2W2: relaxed, GGA-PBE.

a b c (Å): 6.5230 6.5230 3.1858
angles (deg): 90.00 90.00 90.00
Closest atoms and distances in Å follow each position.
Fractional coordinates of all 10 atoms:
Co: 0.0000 0.0000 0.0000  4 P 2.48
W: 0.8508 0.3508 0.5000  6 P 2.43-2.53
P: 0.8487 0.6513 0.0000  6 W 2.43-2.53, 2 Co 2.48
W: 0.3508 0.1492 0.5000  6 P 2.43-2.53
W: 0.1492 0.6492 0.5000  6 P 2.43-2.53
W: 0.6492 0.8508 0.5000  6 P 2.43-2.53
P: 0.1513 0.3487 0.0000  6 W 2.43-2.53, 2 Co 2.48
P: 0.3487 0.8487 0.0000  6 W 2.43-2.53, 2 Co 2.48
P: 0.6513 0.1513 0.0000  6 W 2.43-2.53, 2 Co 2.48
Co: 0.5000 0.5000 0.0000  4 P 2.48

---

x.
CoP2W2: relaxed, GGA-PBE.

a b c (Å): 4.1812 4.1812 5.3162
angles (deg): 66.84 66.84 90.00
Closest atoms and distances in Å follow each position.
Fractional coordinates of all 5 atoms:
W: 0.2500 0.7500 0.5000  4 P 2.39
P: 0.3804 0.3804 0.2392  1 P 2.11
P: 0.6196 0.6196 0.7608  1 P 2.11
W: 0.7500 0.2500 0.5000  4 P 2.39
Co: 0.0000 0.0000 0.0000  8 W 3.04, 10 P 3.14-3.36

---

Energy above the most stable structure, in meV per atom: w 0; x 187

---

w.
YCoP2: relaxed, GGA-PBE.

a b c (Å): 4.5283 4.5283 4.5283
angles (deg): 60.00 60.00 60.00
Closest atoms and distances in Å follow each position.
Fractional coordinates of all 4 atoms:
Y: 0.7500 0.7500 0.7500  4 Co 2.77, 4 P 2.77
P: 0.0000 0.0000 0.0000  4 Y 2.77, 4 P 2.77
Co: 0.5000 0.5000 0.5000  4 P 2.77, 4 Y 2.77
P: 0.2500 0.2500 0.2500  4 P 2.77, 4 Co 2.77

---

x.
YCoP2: relaxed, GGA-PBE.

a b c (Å): 3.7331 4.1642 4.4194
angles (deg): 83.78 90.00 90.00
Closest atoms and distances in Å follow each position.
Fractional coordinates of all 4 atoms:
P: 0.0000 0.8595 0.9918  2 Co 2.22, 2 P 2.36-2.41
Co: 0.5000 0.7500 0.7500  4 P 2.22
P: 0.0000 0.6405 0.5082  2 Co 2.22, 2 P 2.36-2.41
Y: 0.5000 0.2500 0.2500  4 P 2.80, 2 Co 2.87

---

Energy above the most stable structure, in meV per atom: w 805; x 0